1.
# Cd12Ag7Pb2

Crystalline Cd12Ag7Pb2 at its relaxed geometry (GGA-PBE, Alexandria via LeMat-Bulk).

Properties
ΔE_f ... 0.003 eV per atom
Crystal system ... hexagonal
SG ... P-6, No. 174

Structure (POSCAR):
```
Cd12Ag7Pb2
1.0
12.652 0.000 0.000
-6.326 10.957 0.000
0.000 0.000 3.274
Cd Ag Pb
12 7 2
Cartesian
-1.005 2.906 0.000
-3.046 7.806 1.637
-3.307 10.375 0.000
1.089 4.417 1.637
4.217 1.722 1.637
3.837 4.431 0.000
6.897 1.108 0.000
1.957 9.692 1.637
4.312 8.634 0.000
5.709 6.444 1.637
9.053 2.791 1.637
8.245 5.419 0.000
-1.864 5.214 1.637
1.823 2.084 0.000
-0.879 9.965 1.637
2.743 6.736 1.637
6.326 3.652 1.637
9.937 0.537 0.000
7.219 8.337 0.000
0.000 0.000 1.637
0.000 7.305 0.000
```

---

2.
# Cd2AgPb2

Crystalline Cd2AgPb2 at its relaxed geometry (GGA-PBE, Alexandria via LeMat-Bulk).

Properties
ΔE_f ... 0.101 eV per atom
E above lowest polymorph ... 0 meV/atom
Crystal system ... tetragonal
SG ... P4/mbm, No. 127

Structure (POSCAR):
```
Cd2AgPb2
1.0
7.384 0.000 0.000
0.000 7.384 0.000
0.000 0.000 4.857
Cd Ag Pb
4 2 4
Cartesian
1.037 2.655 0.000
2.655 6.347 0.000
4.729 1.037 0.000
6.347 4.729 0.000
0.000 0.000 0.000
3.692 3.692 0.000
1.259 4.951 2.429
2.433 1.259 2.429
4.951 6.125 2.429
6.125 2.433 2.429
```

---

3.
# CdAgPb2

Crystalline CdAgPb2 at its relaxed geometry (GGA-PBE, Alexandria via LeMat-Bulk).

Properties
ΔE_f ... 0.054 eV per atom
Crystal system ... trigonal
SG ... R3m, No. 160

Structure (POSCAR):
```
CdAgPb2
1.0
1.657 0.957 10.962
-1.657 0.957 10.962
0.000 -1.913 10.962
Cd Ag Pb
1 1 2
Cartesian
0.000 0.000 0.000
0.000 0.000 24.189
0.000 0.000 8.137
0.000 0.000 15.759
```

---

4.
# Cd2Ag3Pb

Crystalline Cd2Ag3Pb at its relaxed geometry (GGA-PBE, Alexandria via LeMat-Bulk).

Properties
ΔE_f ... 0.005 eV per atom
Crystal system ... tetragonal
SG ... P4/mmm, No. 123

Structure (POSCAR):
```
Cd2Ag3Pb
1.0
3.502 0.000 0.000
0.000 3.502 0.000
0.000 0.000 10.328
Cd Ag Pb
2 3 1
Cartesian
0.000 0.000 1.600
0.000 0.000 8.728
1.751 1.751 0.000
1.751 1.751 3.163
1.751 1.751 7.165
0.000 0.000 5.164
```

---

5.
# Cd2Ag2Pb

Crystalline Cd2Ag2Pb at its relaxed geometry (GGA-PBE, Alexandria via LeMat-Bulk).

Properties
ΔE_f ... 0.008 eV per atom
E above lowest polymorph ... 0 meV/atom
Crystal system ... tetragonal
SG ... P4/mbm, No. 127

Structure (POSCAR):
```
Cd2Ag2Pb
1.0
8.342 0.000 0.000
0.000 8.342 0.000
0.000 0.000 3.205
Cd Ag Pb
4 4 2
Cartesian
1.440 2.731 0.000
2.731 6.902 0.000
5.611 1.440 0.000
6.902 5.611 0.000
1.025 5.196 1.602
3.146 1.025 1.602
5.196 7.317 1.602
7.317 3.146 1.602
0.000 0.000 1.602
4.171 4.171 1.602
```

---

6.
# CdAg2Pb

Crystalline CdAg2Pb at its relaxed geometry (GGA-PBE, Alexandria via LeMat-Bulk).

Properties
ΔE_f ... 0.073 eV per atom
Crystal system ... monoclinic
SG ... C2/m, No. 12

Structure (POSCAR):
```
CdAg2Pb
1.0
3.354 -3.888 0.000
3.354 3.888 0.000
-0.041 0.000 3.384
Cd Ag Pb
1 2 1
Cartesian
0.000 0.000 0.000
1.657 1.944 1.692
1.657 -1.944 1.692
3.354 0.000 0.000
```

---

7.
# Cd3Ag3Pb

Crystalline Cd3Ag3Pb at its relaxed geometry (GGA-PBE, Alexandria via LeMat-Bulk).

Properties
ΔE_f ... 0.493 eV per atom
Crystal system ... cubic
SG ... Pm-3n, No. 223

Structure (POSCAR):
```
Cd3Ag3Pb
1.0
7.571 0.000 0.000
0.000 7.571 0.000
0.000 0.000 7.571
Cd Ag Pb
6 6 2
Cartesian
0.000 1.893 3.785
0.000 5.678 3.785
1.893 3.785 0.000
3.785 0.000 1.893
3.785 0.000 5.678
5.678 3.785 0.000
0.000 3.785 1.893
0.000 3.785 5.678
1.893 0.000 3.785
3.785 1.893 0.000
3.785 5.678 0.000
5.678 0.000 3.785
0.000 0.000 0.000
3.785 3.785 3.785
```

---

8.
# Cd11AgPb

Crystalline Cd11AgPb at its relaxed geometry (GGA-PBE, Alexandria via LeMat-Bulk).

Properties
ΔE_f ... 0.023 eV per atom
Crystal system ... monoclinic
SG ... C2/m, No. 12

Structure (POSCAR):
```
Cd11AgPb
1.0
2.967 -7.123 0.000
2.967 7.123 0.000
-2.845 0.000 7.147
Cd Ag Pb
11 1 1
Cartesian
0.000 0.000 0.000
0.061 3.562 3.574
-1.349 2.475 6.102
1.557 1.515 2.025
-1.349 -2.475 6.102
1.532 1.515 5.122
0.061 -3.562 3.574
1.557 -1.515 2.025
4.439 2.475 1.045
1.532 -1.515 5.122
4.439 -2.475 1.045
2.967 0.000 0.000
-1.423 0.000 3.574
```

---

9.
# Cd2AgPb2

Crystalline Cd2AgPb2 at its relaxed geometry (GGA-PBE, Alexandria via LeMat-Bulk).

Properties
ΔE_f ... 0.302 eV per atom
E above lowest polymorph ... 201 meV/atom
Crystal system ... tetragonal
SG ... I4/mmm, No. 139

Structure (POSCAR):
```
Cd2AgPb2
1.0
-2.250 2.250 7.167
2.250 -2.250 7.167
2.250 2.250 -7.167
Cd Ag Pb
2 1 2
Cartesian
0.000 0.000 1.346
0.000 0.000 12.989
0.000 0.000 7.167
2.250 0.000 3.584
0.000 2.250 3.584
```

---

10.
# Cd3AgPb

Crystalline Cd3AgPb at its relaxed geometry (GGA-PBE, Alexandria via LeMat-Bulk).

Properties
ΔE_f ... 0.029 eV per atom
E above lowest polymorph ... 0 meV/atom
Crystal system ... orthorhombic
SG ... Cmcm, No. 63

Structure (POSCAR):
```
Cd3AgPb
1.0
2.993 -7.067 0.000
2.993 7.067 0.000
0.000 0.000 5.762
Cd Ag Pb
6 2 2
Cartesian
1.493 2.106 4.321
2.993 4.565 4.321
1.493 -2.106 1.440
4.494 2.106 4.321
2.993 -4.565 1.440
4.494 -2.106 1.440
0.000 0.000 0.000
0.000 0.000 2.881
2.993 1.051 1.440
2.993 -1.051 4.321
```

---

11.
# CdAgPb2

Crystalline CdAgPb2 at its relaxed geometry (GGA-PBE, Alexandria via LeMat-Bulk).

Properties
ΔE_f ... 0.095 eV per atom
Crystal system ... monoclinic
SG ... C2/m, No. 12

Structure (POSCAR):
```
CdAgPb2
1.0
2.988 -1.710 0.000
2.988 1.710 0.000
-1.835 0.000 10.259
Cd Ag Pb
1 1 2
Cartesian
0.000 0.000 0.000
2.071 0.000 5.129
0.124 0.000 7.544
4.018 0.000 2.715
```

---

12.
# CdAgPb2

Crystalline CdAgPb2 at its relaxed geometry (GGA-PBE, Alexandria via LeMat-Bulk).

Properties
ΔE_f ... 0.123 eV per atom
Crystal system ... orthorhombic
SG ... Immm, No. 71

Structure (POSCAR):
```
CdAgPb2
1.0
-1.866 2.790 5.096
1.866 -2.790 5.096
1.866 2.790 -5.096
Cd Ag Pb
1 1 2
Cartesian
0.000 0.000 0.000
0.000 0.000 5.096
1.866 0.000 2.690
0.000 2.790 2.406
```

---

13.
# CdAg14Pb

Crystalline CdAg14Pb at its relaxed geometry (GGA-PBE, Alexandria via LeMat-Bulk).

Properties
ΔE_f ... 0.036 eV per atom
Crystal system ... tetragonal
SG ... P4/mmm, No. 123

Structure (POSCAR):
```
CdAg14Pb
1.0
5.997 0.000 0.000
0.000 5.997 0.000
0.000 0.000 8.315
Cd Ag Pb
1 14 1
Cartesian
0.000 0.000 0.000
0.000 0.000 4.158
0.000 2.999 0.000
0.000 2.999 4.158
1.475 1.475 2.157
1.475 1.475 6.158
1.475 4.522 2.157
1.475 4.522 6.158
2.999 0.000 0.000
2.999 0.000 4.158
2.999 2.999 4.158
4.522 1.475 2.157
4.522 1.475 6.158
4.522 4.522 2.157
4.522 4.522 6.158
2.999 2.999 0.000
```

---

14.
# Cd2Ag2Pb

Crystalline Cd2Ag2Pb at its relaxed geometry (GGA-PBE, Alexandria via LeMat-Bulk).

Properties
ΔE_f ... 0.070 eV per atom
E above lowest polymorph ... 62 meV/atom
Crystal system ... tetragonal
SG ... I4/mmm, No. 139

Structure (POSCAR):
```
Cd2Ag2Pb
1.0
-2.058 2.058 6.924
2.058 -2.058 6.924
2.058 2.058 -6.924
Cd Ag Pb
2 2 1
Cartesian
2.058 0.000 3.462
0.000 2.058 3.462
0.000 0.000 1.388
0.000 0.000 12.460
0.000 0.000 6.924
```

---

15.
# CdAg2Pb

Crystalline CdAg2Pb at its relaxed geometry (GGA-PBE, Alexandria via LeMat-Bulk).

Properties
ΔE_f ... 0.070 eV per atom
Crystal system ... tetragonal
SG ... P4/mmm, No. 123

Structure (POSCAR):
```
CdAg2Pb
1.0
4.524 0.000 0.000
0.000 4.524 0.000
0.000 0.000 4.273
Cd Ag Pb
1 2 1
Cartesian
0.000 0.000 0.000
0.000 2.262 2.136
2.262 0.000 2.136
2.262 2.262 0.000
```

---

16.
# CdAgPb2

Crystalline CdAgPb2 at its relaxed geometry (GGA-PBE, Alexandria via LeMat-Bulk).

Properties
ΔE_f ... 0.069 eV per atom
Crystal system ... monoclinic
SG ... Cm, No. 8

Structure (POSCAR):
```
CdAgPb2
1.0
5.717 -1.743 0.000
5.717 1.743 0.000
-2.124 0.000 5.221
Cd Ag Pb
1 1 2
Cartesian
0.000 0.000 0.000
7.411 0.000 1.584
0.996 0.000 4.228
4.166 0.000 2.396
```

---

17.
# CdAgPb3

Crystalline CdAgPb3 at its relaxed geometry (GGA-PBE, Alexandria via LeMat-Bulk).

Properties
ΔE_f ... 0.366 eV per atom
E above lowest polymorph ... 0 meV/atom
Crystal system ... cubic
SG ... Pm-3m, No. 221

Structure (POSCAR):
```
CdAgPb3
1.0
5.538 0.000 0.000
0.000 5.538 0.000
0.000 0.000 5.538
Cd Ag Pb
1 1 3
Cartesian
0.000 0.000 0.000
2.769 2.769 2.769
0.000 2.769 2.769
2.769 0.000 2.769
2.769 2.769 0.000
```

---

18.
# CdAg6Pb

Crystalline CdAg6Pb at its relaxed geometry (GGA-PBE, Alexandria via LeMat-Bulk).

Properties
ΔE_f ... 0.051 eV per atom
Crystal system ... orthorhombic
SG ... Amm2, No. 38

Structure (POSCAR):
```
CdAg6Pb
1.0
4.843 0.000 0.000
0.000 3.058 5.302
0.000 -3.058 5.302
Cd Ag Pb
1 6 1
Cartesian
0.000 0.000 0.000
0.000 -1.457 2.692
0.000 1.457 2.692
0.000 0.000 5.213
2.421 -1.529 4.414
2.421 0.000 1.770
2.421 1.529 4.414
2.421 0.000 7.063
```

---

19.
# CdAg2Pb

Crystalline CdAg2Pb at its relaxed geometry (GGA-PBE, Alexandria via LeMat-Bulk).

Properties
ΔE_f ... 0.076 eV per atom
Crystal system ... trigonal
SG ... R3m, No. 160

Structure (POSCAR):
```
CdAg2Pb
1.0
1.613 0.931 9.960
-1.613 0.931 9.960
0.000 -1.863 9.960
Cd Ag Pb
1 2 1
Cartesian
0.000 0.000 0.000
0.000 0.000 7.659
0.000 0.000 15.433
0.000 0.000 22.836
```

---

20.
# CdAg2Pb

Crystalline CdAg2Pb at its relaxed geometry (GGA-PBE, Alexandria via LeMat-Bulk).

Properties
ΔE_f ... 0.074 eV per atom
Crystal system ... orthorhombic
SG ... Imm2, No. 44

Structure (POSCAR):
```
CdAg2Pb
1.0
-1.627 2.574 5.318
1.627 -2.574 5.318
1.627 2.574 -5.318
Cd Ag Pb
1 2 1
Cartesian
0.000 0.000 0.000
0.000 0.000 5.704
0.000 2.574 2.760
1.627 0.000 2.980
```

---

21.
# CdAgPb2

Crystalline CdAgPb2 at its relaxed geometry (GGA-PBE, Alexandria via LeMat-Bulk).

Properties
ΔE_f ... 0.089 eV per atom
Crystal system ... orthorhombic
SG ... Cmmm, No. 65

Structure (POSCAR):
```
CdAgPb2
1.0
3.347 -4.641 0.000
3.347 4.641 0.000
0.000 0.000 3.334
Cd Ag Pb
1 1 2
Cartesian
0.000 0.000 0.000
3.347 0.000 0.000
1.674 2.320 1.667
1.674 -2.320 1.667
```

---

22.
# CdAg2Pb

Crystalline CdAg2Pb at its relaxed geometry (GGA-PBE, Alexandria via LeMat-Bulk).

Properties
ΔE_f ... 0.086 eV per atom
Crystal system ... monoclinic
SG ... Cm, No. 8

Structure (POSCAR):
```
CdAg2Pb
1.0
2.662 -1.779 0.000
2.662 1.779 0.000
-2.388 0.000 9.439
Cd Ag Pb
1 2 1
Cartesian
0.000 0.000 0.000
-0.432 0.000 7.241
3.375 0.000 2.198
1.475 0.000 4.720
```

---

23.
# CdAgPb2

Crystalline CdAgPb2 at its relaxed geometry (GGA-PBE, Alexandria via LeMat-Bulk).

Properties
ΔE_f ... 0.088 eV per atom
Crystal system ... tetragonal
SG ... I4/mmm, No. 139

Structure (POSCAR):
```
CdAgPb2
1.0
-2.422 2.422 4.407
2.422 -2.422 4.407
2.422 2.422 -4.407
Cd Ag Pb
1 1 2
Cartesian
0.000 0.000 0.000
0.000 0.000 4.407
2.422 0.000 2.204
0.000 2.422 2.204
```

---

24.
# Cd3AgPb12

Crystalline Cd3AgPb12 at its relaxed geometry (GGA-PBE, Alexandria via LeMat-Bulk).

Properties
ΔE_f ... 0.051 eV per atom
Crystal system ... tetragonal
SG ... P4/mmm, No. 123

Structure (POSCAR):
```
Cd3AgPb12
1.0
4.840 0.000 0.000
0.000 4.840 0.000
0.000 0.000 20.036
Cd Ag Pb
3 1 12
Cartesian
0.000 0.000 0.000
0.000 0.000 5.024
0.000 0.000 15.012
0.000 0.000 10.018
0.000 2.420 2.536
0.000 2.420 7.619
0.000 2.420 12.417
0.000 2.420 17.499
2.420 0.000 2.536
2.420 0.000 7.619
2.420 0.000 12.417
2.420 0.000 17.499
2.420 2.420 0.000
2.420 2.420 5.092
2.420 2.420 10.018
2.420 2.420 14.944
```

---

25.
# Cd2AgPb2

Crystalline Cd2AgPb2 at its relaxed geometry (GGA-PBE, Alexandria via LeMat-Bulk).

Properties
ΔE_f ... 0.167 eV per atom
E above lowest polymorph ... 66 meV/atom
Crystal system ... tetragonal
SG ... P4/mbm, No. 127

Structure (POSCAR):
```
Cd2AgPb2
1.0
7.697 0.000 0.000
0.000 7.697 0.000
0.000 0.000 4.686
Cd Ag Pb
4 2 4
Cartesian
1.166 2.683 0.000
2.683 6.531 0.000
5.015 1.166 0.000
6.531 5.015 0.000
0.000 0.000 2.343
3.849 3.849 2.343
1.197 5.046 2.343
2.652 1.197 2.343
5.046 6.501 2.343
6.501 2.652 2.343
```